1.
Density functional theory data (PBE) for Ba3HoCd2O6 after structural relaxation.

a = 6.3147 Å, b = 6.3147 Å, c = 7.0159 Å
α = 90.00°, β = 90.00°, γ = 120.00°
Closest atoms and distances in Å follow each position.
Atoms (fractional coordinates):
O: 0.8361 0.6722 0.6904  1 Cd 2.17, 1 Ho 2.24
O: 0.6722 0.8361 0.3096  1 Cd 2.17, 1 Ho 2.24
O: 0.1639 0.3278 0.3096  1 Cd 2.17, 1 Ho 2.24
O: 0.8361 0.1639 0.6904  1 Cd 2.17, 1 Ho 2.24
O: 0.3278 0.1639 0.6904  1 Cd 2.17, 1 Ho 2.24
O: 0.1639 0.8361 0.3096  1 Cd 2.17, 1 Ho 2.24
Ba: 0.6667 0.3333 0.3850  3 O 2.83
Ba: 0.0000 0.0000 0.0000  6 O 2.82
Ba: 0.3333 0.6667 0.6150  3 O 2.83
Cd: 0.6667 0.3333 0.8522  3 O 2.17
Cd: 0.3333 0.6667 0.1478  3 O 2.17
Ho: 0.0000 0.0000 0.5000  6 O 2.24

Summary:
uncorrected formation energy: -2084 meV/atom
space-group type: P-3m1, No. 164

---

2.
Density functional theory data (PBE) for Ca after structural relaxation.

a = 3.8989 Å, b = 3.8998 Å, c = 3.8998 Å
α = 59.98°, β = 60.01°, γ = 60.01°
Closest atoms and distances in Å follow each position.
Atoms (fractional coordinates):
Ca: 0.0000 0.5000 0.5000  12 Ca 3.90

Summary:
ΔE_f: 0.000 eV per atom
space-group type: Fm-3m, No. 225
energy relative to the lowest polymorph listed for this composition: 0 meV per atom

---

3.
Density functional theory data (PBE) for Y3Er2Tm2 after structural relaxation.

a = 3.4739 Å, b = 8.4746 Å, c = 8.8195 Å
α = 118.63°, β = 101.36°, γ = 90.00°
Closest atoms and distances in Å follow each position.
Atoms (fractional coordinates):
Y: 0.0000 0.5000 0.0000  4 Y 3.29-3.47, 2 Tm 3.51, 4 Er 3.54
Y: 0.2122 0.7998 0.4244  5 Y 3.29-3.47, 3 Er 3.41-3.56, 3 Tm 3.55-3.63
Y: 0.7878 0.2002 0.5756  5 Y 3.29-3.47, 3 Er 3.41-3.56, 3 Tm 3.55-3.63
Er: 0.5650 0.9095 0.1299  3 Er 3.28-3.47, 5 Y 3.41-3.56, 4 Tm 3.53-3.63
Er: 0.4350 0.0905 0.8701  3 Er 3.28-3.47, 5 Y 3.41-3.56, 4 Tm 3.53-3.63
Tm: 0.1459 0.3225 0.2918  4 Tm 3.47-3.80, 4 Y 3.51-3.63, 4 Er 3.53-3.63
Tm: 0.8541 0.6775 0.7082  4 Tm 3.47-3.80, 4 Y 3.51-3.63, 4 Er 3.53-3.63

Summary:
ΔE_f: 0.124 eV per atom
space-group type: C2/m, No. 12
energy relative to the lowest polymorph listed for this composition: 75 meV per atom

---

4.
Density functional theory data (PBE) for Th2Ge4Ir3Rh after structural relaxation.

a = 4.2736 Å, b = 4.2736 Å, c = 10.2170 Å
α = 90.00°, β = 90.00°, γ = 90.00°
Closest atoms and distances in Å follow each position.
Atoms (fractional coordinates):
Ir: 0.0000 0.5000 0.1294  5 Ge 2.45-2.51
Ir: 0.0000 0.0000 0.5000  4 Ge 2.52
Ir: 0.5000 0.0000 0.8706  5 Ge 2.45-2.51
Th: 0.5000 0.0000 0.2461  6 Ir 3.25-3.36, 8 Ge 3.27-3.30, 2 Rh 3.36
Th: 0.0000 0.5000 0.7539  6 Ir 3.25-3.36, 8 Ge 3.27-3.30, 2 Rh 3.36
Ge: 0.5000 0.5000 0.0000  4 Ir 2.51
Ge: 0.0000 0.0000 0.0000  4 Ir 2.51
Ge: 0.0000 0.5000 0.3691  3 Ir 2.45-2.52, 2 Rh 2.52
Ge: 0.5000 0.0000 0.6309  3 Ir 2.45-2.52, 2 Rh 2.52
Rh: 0.5000 0.5000 0.5000  4 Ge 2.52

Summary:
ΔE_f: -0.846 eV per atom
space-group type: P-4m2, No. 115

---

5.
Density functional theory data (PBE) for Cd3I2O2 after structural relaxation.

a = 4.0884 Å, b = 6.9974 Å, c = 7.3419 Å
α = 121.31°, β = 106.17°, γ = 90.00°
Closest atoms and distances in Å follow each position.
Atoms (fractional coordinates):
O: 0.1692 0.3076 0.3384  4 Cd 2.18-2.31
O: 0.8308 0.6924 0.6616  4 Cd 2.18-2.31
Cd: 0.0000 0.0000 0.0000  2 O 2.18
Cd: 0.2533 0.6872 0.5066  3 O 2.25-2.31
Cd: 0.7467 0.3128 0.4934  3 O 2.25-2.31
I: 0.5987 0.8093 0.1974  3 Cd 2.97-3.15
I: 0.4013 0.1907 0.8026  3 Cd 2.97-3.15

Summary:
uncorrected formation energy: -735 meV/atom
space-group type: C2/m, No. 12

---

6.
Density functional theory data (PBE) for YRe3Ge after structural relaxation.

a = 4.8817 Å, b = 4.8817 Å, c = 4.8817 Å
α = 90.00°, β = 90.00°, γ = 90.00°
Closest atoms and distances in Å follow each position.
Atoms (fractional coordinates):
Re: 0.0000 0.0000 0.5000  2 Y 2.44
Re: 0.0000 0.5000 0.0000  2 Y 2.44
Re: 0.5000 0.0000 0.0000  2 Y 2.44
Y: 0.0000 0.0000 0.0000  6 Re 2.44
Ge: 0.5000 0.5000 0.5000  12 Re 3.45

Summary:
ΔE_f: 3.134 eV per atom
space-group type: Pm-3m, No. 221
energy relative to the lowest polymorph listed for this composition: 2026 meV per atom

---

7.
Density functional theory data (PBE) for ZrTcHg2 after structural relaxation.

a = 5.3175 Å, b = 5.3175 Å, c = 3.0190 Å
α = 90.01°, β = 90.01°, γ = 114.67°
Closest atoms and distances in Å follow each position.
Atoms (fractional coordinates):
Zr: 0.0000 0.5000 0.5000  2 Tc 2.87, 2 Zr 3.02, 8 Hg 3.06
Hg: 0.0000 0.0000 0.0000  4 Hg 2.87-3.02, 4 Zr 3.06, 4 Tc 3.06
Hg: 0.5000 0.5000 0.0000  4 Hg 2.87-3.02, 4 Tc 3.06, 4 Zr 3.06
Tc: 0.5000 0.0000 0.5000  2 Zr 2.87, 2 Tc 3.02, 8 Hg 3.06

Summary:
ΔE_f: 0.267 eV per atom
space-group type: Cmmm, No. 65
energy relative to the lowest polymorph listed for this composition: 187 meV per atom

---

8.
Density functional theory data (PBE) for Ta2TiBRh after structural relaxation.

a = 4.3719 Å, b = 4.3719 Å, c = 4.0767 Å
α = 90.00°, β = 90.00°, γ = 90.00°
Closest atoms and distances in Å follow each position.
Atoms (fractional coordinates):
Ti: 0.5000 0.5000 0.5000  8 Ta 2.99, 4 Rh 3.09
Ta: 0.0000 0.5000 0.0000  2 B 2.19
Ta: 0.5000 0.0000 0.0000  2 B 2.19
Rh: 0.0000 0.0000 0.5000  2 B 2.04
B: 0.0000 0.0000 0.0000  2 Rh 2.04, 4 Ta 2.19

Summary:
ΔE_f: -0.114 eV per atom
space-group type: P4/mmm, No. 123

---

9.
Density functional theory data (PBE) for ZnHg2Ir after structural relaxation.

a = 5.2527 Å, b = 5.2527 Å, c = 5.2527 Å
α = 134.96°, β = 134.91°, γ = 65.63°
Closest atoms and distances in Å follow each position.
Atoms (fractional coordinates):
Hg: 0.4997 0.4997 0.0000  4 Hg 2.85, 4 Zn 2.98-2.99, 4 Ir 2.99
Hg: 0.0003 0.0003 0.0000  4 Hg 2.85, 4 Zn 2.98-2.99, 4 Ir 2.99
Zn: 0.2500 0.7500 0.5000  4 Ir 2.85, 8 Hg 2.98-2.99
Ir: 0.7500 0.2500 0.5000  4 Zn 2.85, 8 Hg 2.99

Summary:
ΔE_f: 0.314 eV per atom
space-group type: I4/mmm, No. 139

---

10.
Density functional theory data (PBE) for TlIn7Hg3 after structural relaxation.

a = 6.5170 Å, b = 8.5542 Å, c = 8.5542 Å
α = 81.38°, β = 124.01°, γ = 124.01°
Closest atoms and distances in Å follow each position.
Atoms (fractional coordinates):
In: 0.6766 0.9408 0.4112  3 Hg 3.03-3.13, 2 In 3.10-3.26, 1 Tl 3.37
In: 0.3234 0.5888 0.0592  3 Hg 3.03-3.13, 2 In 3.10-3.26, 1 Tl 3.37
In: 0.3334 0.1815 0.1815  2 In 3.08-3.30, 3 Hg 3.08-3.24, 1 Tl 3.41
In: 0.6766 0.4112 0.9408  3 Hg 3.03-3.13, 2 In 3.10-3.26, 1 Tl 3.37
In: 0.6666 0.8185 0.8185  2 In 3.08-3.30, 3 Hg 3.08-3.24, 1 Tl 3.41
In: 0.3234 0.0592 0.5888  3 Hg 3.03-3.13, 2 In 3.10-3.26, 1 Tl 3.37
In: 0.0000 0.5000 0.5000  2 Hg 2.97, 2 In 3.08, 2 Tl 3.26
Hg: 0.0000 0.7664 0.2336  7 In 2.97-3.13
Hg: 0.5000 0.0000 0.0000  6 In 3.09-3.24
Hg: 0.0000 0.2336 0.7664  7 In 2.97-3.13
Tl: 0.5000 0.5000 0.5000  8 In 3.26-3.41

Summary:
ΔE_f: 0.066 eV per atom
space-group type: C2/m, No. 12

---

11.
Density functional theory data (PBE) for PaCdBiN after structural relaxation.

a = 3.9682 Å, b = 3.9682 Å, c = 12.4841 Å
α = 90.00°, β = 90.00°, γ = 90.00°
Closest atoms and distances in Å follow each position.
Atoms (fractional coordinates):
Bi: 0.7500 0.7500 0.2545  4 Pa 3.47, 4 Cd 3.65, 4 N 3.75
Bi: 0.2500 0.2500 0.7455  4 Pa 3.47, 4 Cd 3.65, 4 N 3.75
N: 0.2500 0.7500 0.0000  4 Pa 2.29
N: 0.7500 0.2500 0.0000  4 Pa 2.29
Cd: 0.7500 0.2500 0.5000  4 Cd 2.81
Cd: 0.2500 0.7500 0.5000  4 Cd 2.81
Pa: 0.7500 0.7500 0.9086  4 N 2.29
Pa: 0.2500 0.2500 0.0914  4 N 2.29

Summary:
uncorrected formation energy: -768 meV/atom
space-group type: P4/nmm, No. 129

---

12.
Density functional theory data (PBE) for ScAlTeN2 after structural relaxation.

a = 4.0785 Å, b = 4.0785 Å, c = 6.0525 Å
α = 90.00°, β = 90.00°, γ = 90.00°
Closest atoms and distances in Å follow each position.
Atoms (fractional coordinates):
Sc: 0.0000 0.0000 0.0000  4 N 2.04
Te: 0.0000 0.0000 0.5000  4 Al 2.88, 2 Sc 3.03
Al: 0.5000 0.5000 0.5000  4 Te 2.88
N: 0.0000 0.5000 0.0000  2 Sc 2.04
N: 0.5000 0.0000 0.0000  2 Sc 2.04

Summary:
uncorrected formation energy: 576 meV/atom
space-group type: P4/mmm, No. 123
energy relative to the lowest polymorph listed for this composition: 322 meV per atom

---

13.
Density functional theory data (PBE) for Li2Cu2Hg after structural relaxation.

a = 3.8167 Å, b = 3.8167 Å, c = 6.3157 Å
α = 72.41°, β = 72.41°, γ = 90.00°
Closest atoms and distances in Å follow each position.
Atoms (fractional coordinates):
Li: 0.2500 0.7500 0.5000  4 Cu 2.55, 4 Li 2.70
Li: 0.7500 0.2500 0.5000  4 Cu 2.55, 4 Li 2.70
Cu: 0.6017 0.6017 0.7967  1 Cu 2.32, 4 Li 2.55
Cu: 0.3983 0.3983 0.2033  1 Cu 2.32, 4 Li 2.55
Hg: 0.0000 0.0000 0.0000  8 Cu 2.94

Summary:
ΔE_f: 0.158 eV per atom
space-group type: I4/mmm, No. 139
energy relative to the lowest polymorph listed for this composition: 208 meV per atom

---

14.
Density functional theory data (PBE) for NaS after structural relaxation.

a = 4.0953 Å, b = 4.0997 Å, c = 5.6801 Å
α = 72.96°, β = 73.10°, γ = 87.93°
Closest atoms and distances in Å follow each position.
Atoms (fractional coordinates):
Na: 0.7880 0.2833 0.2671  6 S 2.87-3.10, 1 Na 3.06
Na: 0.2120 0.7167 0.7329  6 S 2.87-3.10, 1 Na 3.06
S: 0.3417 0.8378 0.1782  1 S 2.14
S: 0.6583 0.1622 0.8218  1 S 2.14

Summary:
uncorrected formation energy: -779 meV/atom
space-group type: P-1, No. 2
energy relative to the lowest polymorph listed for this composition: 51 meV per atom

---

15.
Density functional theory data (PBE) for VGaTcPt after structural relaxation.

a = 4.3341 Å, b = 4.3341 Å, c = 4.3341 Å
α = 60.00°, β = 60.00°, γ = 60.00°
Closest atoms and distances in Å follow each position.
Atoms (fractional coordinates):
V: 0.0000 0.0000 0.0000  4 Pt 2.65, 4 Tc 2.65
Pt: 0.7500 0.7500 0.7500  4 Ga 2.65, 4 V 2.65
Ga: 0.5000 0.5000 0.5000  4 Tc 2.65, 4 Pt 2.65
Tc: 0.2500 0.2500 0.2500  4 V 2.65, 4 Ga 2.65

Summary:
ΔE_f: -0.372 eV per atom
space-group type: F-43m, No. 216

---

16.
Density functional theory data (PBE) for BeReB2As after structural relaxation.

a = 4.0416 Å, b = 4.0362 Å, c = 4.0416 Å
α = 90.00°, β = 90.00°, γ = 90.00°
Closest atoms and distances in Å follow each position.
Atoms (fractional coordinates):
B: 0.0000 0.0000 0.5000  2 As 2.02
B: 0.5000 0.0000 0.0000  2 As 2.02
As: 0.0000 0.0000 0.0000  2 Be 2.02, 4 B 2.02
Re: 0.5000 0.5000 0.5000  8 B 2.86, 4 Be 2.86
Be: 0.0000 0.5000 0.0000  2 As 2.02

Summary:
ΔE_f: 2.057 eV per atom
space-group type: P4/mmm, No. 123

---

17.
Density functional theory data (PBE) for LaTb6Er2 after structural relaxation.

a = 6.6199 Å, b = 9.5577 Å, c = 9.5577 Å
α = 95.53°, β = 81.19°, γ = 81.19°
Closest atoms and distances in Å follow each position.
Atoms (fractional coordinates):
Tb: 0.5002 0.6490 0.2808  4 Tb 3.23-3.50, 1 La 3.27, 3 Er 3.36-3.44
Tb: 0.4998 0.3510 0.7192  4 Tb 3.23-3.50, 1 La 3.27, 3 Er 3.36-3.44
Tb: 0.7282 0.0609 0.4623  7 Tb 3.40-3.81, 2 Er 3.50-3.62, 1 La 3.51
Tb: 0.0002 0.2808 0.6490  4 Tb 3.23-3.50, 1 La 3.27, 3 Er 3.36-3.44
Tb: 0.7718 0.5377 0.9391  7 Tb 3.40-3.81, 2 Er 3.50-3.62, 1 La 3.51
Tb: 0.1774 0.0511 0.2229  4 Tb 3.40-3.79, 2 La 3.42-3.69, 2 Er 3.49-3.50
Tb: 0.2718 0.9391 0.5377  7 Tb 3.40-3.81, 2 Er 3.50-3.62, 1 La 3.51
Tb: 0.9998 0.7192 0.3510  4 Tb 3.23-3.50, 1 La 3.27, 3 Er 3.36-3.44
Tb: 0.8226 0.9489 0.7771  4 Tb 3.40-3.79, 2 La 3.42-3.69, 2 Er 3.49-3.50
Tb: 0.6774 0.2229 0.0511  4 Tb 3.40-3.79, 2 La 3.42-3.69, 2 Er 3.49-3.50
Tb: 0.3226 0.7771 0.9489  4 Tb 3.40-3.79, 2 La 3.42-3.69, 2 Er 3.49-3.50
Tb: 0.2282 0.4623 0.0609  7 Tb 3.40-3.81, 2 Er 3.50-3.62, 1 La 3.51
La: 0.2500 0.1232 0.8768  6 Tb 3.27-3.51
La: 0.7500 0.8768 0.1232  6 Tb 3.27-3.51
Er: 0.8653 0.3853 0.3365  7 Tb 3.36-3.62, 3 Er 3.38-3.55
Er: 0.1347 0.6147 0.6635  7 Tb 3.36-3.62, 3 Er 3.38-3.55
Er: 0.3653 0.3365 0.3853  7 Tb 3.36-3.62, 3 Er 3.38-3.55
Er: 0.6347 0.6635 0.6147  7 Tb 3.36-3.62, 3 Er 3.38-3.55

Summary:
ΔE_f: 0.103 eV per atom
space-group type: C2/c, No. 15

---

18.
Density functional theory data (PBE) for BeCu3As after structural relaxation.

a = 4.1030 Å, b = 4.1030 Å, c = 4.1030 Å
α = 90.00°, β = 90.00°, γ = 90.00°
Closest atoms and distances in Å follow each position.
Atoms (fractional coordinates):
Cu: 0.0000 0.5000 0.0000  2 Be 2.05
Cu: 0.0000 0.0000 0.5000  2 Be 2.05
Cu: 0.5000 0.0000 0.0000  2 Be 2.05
Be: 0.0000 0.0000 0.0000  6 Cu 2.05
As: 0.5000 0.5000 0.5000  12 Cu 2.90

Summary:
ΔE_f: 0.437 eV per atom
space-group type: Pm-3m, No. 221
energy relative to the lowest polymorph listed for this composition: 0 meV per atom

---

19.
Density functional theory data (PBE) for ZrCrNi after structural relaxation.

a = 2.8881 Å, b = 2.8881 Å, c = 6.5570 Å
α = 90.00°, β = 90.00°, γ = 120.00°
Closest atoms and distances in Å follow each position.
Atoms (fractional coordinates):
Ni: 0.6667 0.3333 0.3113  3 Cr 2.49
Cr: 0.0000 0.0000 0.0284  3 Ni 2.49
Zr: 0.3333 0.6667 0.6603  3 Ni 2.83, 6 Zr 2.89, 3 Cr 2.93

Summary:
ΔE_f: 0.409 eV per atom
space-group type: P3m1, No. 156
energy relative to the lowest polymorph listed for this composition: 605 meV per atom

---

20.
Density functional theory data (PBE) for K3SnI6 after structural relaxation.

a = 8.4187 Å, b = 9.0956 Å, c = 12.0908 Å
α = 90.00°, β = 87.51°, γ = 90.00°
Closest atoms and distances in Å follow each position.
Atoms (fractional coordinates):
I: 0.1409 0.0605 0.7680  1 Sn 3.05
I: 0.7936 0.6756 0.5557  1 Sn 3.04
I: 0.3373 0.7808 0.4202  1 Sn 3.07
I: 0.7064 0.1756 0.9443  1 Sn 3.04
I: 0.6627 0.2192 0.5798  1 Sn 3.07
I: 0.3591 0.5605 0.7320  1 Sn 3.05
I: 0.8591 0.9395 0.2320  1 Sn 3.05
I: 0.1627 0.2808 0.0798  1 Sn 3.07
I: 0.6409 0.4395 0.2680  1 Sn 3.05
I: 0.2936 0.8244 0.0557  1 Sn 3.04
I: 0.2064 0.3244 0.4443  1 Sn 3.04
I: 0.8373 0.7192 0.9202  1 Sn 3.07
K: 0.0000 0.0000 0.5000  6 I 3.47-3.57
K: 0.5355 0.9135 0.7609  6 I 3.56-3.88
K: 0.5000 0.5000 0.0000  6 I 3.47-3.57
K: 0.0355 0.5865 0.2609  6 I 3.56-3.88
K: 0.9645 0.4135 0.7391  6 I 3.56-3.88
K: 0.4645 0.0865 0.2391  6 I 3.56-3.88
Sn: 0.0000 0.0000 0.0000  6 I 3.04-3.07
Sn: 0.5000 0.5000 0.5000  6 I 3.04-3.07

Summary:
uncorrected formation energy: -1010 meV/atom
space-group type: P2_1/c, No. 14
energy relative to the lowest polymorph listed for this composition: 6 meV per atom